The following is a DFT calculation (PBE-GGA) of a relaxed structure of Y3Ni8Hg.

Results
The value obtained for the total energy is -5.8771 eV/atom. The calculation puts the density at 8.6 g cm⁻³.

Lattice parameters (Å, degrees): 5.0356 5.0356 24.8028 90.00 90.00 120.00
Closest atoms and distances in Å follow each position.
Space group R3m (No. 160, hexagonal axes)
Symmetry-distinct sites (fractional):
1 Y 0.0000 0.0000 0.0000 [3 per cell]  12 Ni 2.87-3.04, 3 Hg 3.02, 1 Y 3.19
2 Y 0.0000 0.0000 0.1287 [3 per cell]  12 Ni 2.93-2.98, 4 Y 3.16-3.19
3 Y 0.0000 0.0000 0.5121 [3 per cell]  12 Ni 2.86-3.10, 1 Hg 3.01, 3 Y 3.16
4 Ni 0.0000 0.0000 0.3179 [3 per cell]  6 Ni 2.53-2.54
5 Ni 0.0000 0.0000 0.8177 [3 per cell]  6 Ni 2.51-2.53
6 Ni 0.0000 0.5000 0.0686 [9 per cell]  6 Ni 2.51-2.54
7 Ni 0.1687 0.3375 0.9005 [9 per cell]  6 Ni 2.49-2.55
8 Hg 0.0000 0.0000 0.6334 [3 per cell]  12 Ni 2.92-3.01, 4 Y 3.01-3.02